PmGaPt: relaxed, GGA-PBE.

energy relative to the elements: -3.0 eV/f.u.
E above lowest polymorph: 51 meV/atom
space group: No. 187

```
3
Lattice="4.454 0.000 0.000 -2.227 3.857 0.000 0.000 0.000 3.772" Properties=species:S:1:pos:R:3 pbc="T T T"
Pm 0.000 0.000 0.000
Ga 0.000 2.571 1.886
Pt 2.227 1.286 1.886
```

PmGa2Pt7: relaxed, GGA-PBE.

energy relative to the elements: -2.7 eV/f.u.
space group: No. 65

```
10
Lattice="3.656 -6.206 0.000 3.656 6.206 0.000 0.000 0.000 4.548" Properties=species:S:1:pos:R:3 pbc="T T T"
Pm 0.000 0.000 0.000
Ga 3.656 2.487 2.274
Ga 3.656 -2.487 2.274
Pt 1.390 1.431 2.274
Pt 3.656 3.434 0.000
Pt 1.390 -1.431 2.274
Pt 3.656 0.000 2.274
Pt 5.922 1.431 2.274
Pt 3.656 -3.434 0.000
Pt 5.922 -1.431 2.274
```

Pm3Ga7Pt2: relaxed, GGA-PBE.

energy relative to the elements: -9.3 eV/f.u.
space group: No. 10

```
12
Lattice="4.314 0.000 0.000 0.000 4.308 0.000 -2.141 0.000 13.337" Properties=species:S:1:pos:R:3 pbc="T T T"
Pm 0.000 0.000 0.000
Pm 0.002 2.154 8.524
Pm 2.171 2.154 4.813
Ga 0.011 2.154 2.193
Ga 0.007 0.000 5.998
Ga 0.014 0.000 11.147
Ga 2.157 2.154 0.000
Ga 2.158 0.000 2.190
Ga 2.166 0.000 7.339
Ga 2.162 2.154 11.144
Pt 0.002 0.000 3.514
Pt 2.171 0.000 9.823
```

Pm5GaPt4: relaxed, GGA-PBE.

energy relative to the elements: -9.7 eV/f.u.
space group: No. 123

```
10
Lattice="3.599 0.000 0.000 0.000 3.599 0.000 0.000 0.000 18.061" Properties=species:S:1:pos:R:3 pbc="T T T"
Pm 0.000 0.000 0.000
Pm 0.000 0.000 3.576
Pm 0.000 0.000 7.125
Pm 0.000 0.000 10.937
Pm 0.000 0.000 14.485
Ga 1.799 1.799 9.031
Pt 1.799 1.799 1.785
Pt 1.799 1.799 5.383
Pt 1.799 1.799 12.678
Pt 1.799 1.799 16.276
```